Entry 1:
## Ta2VCl8 (PBE)

Data for crystalline Ta2VCl8 at its relaxed geometry.

a = 5.851 Å, b = 7.803 Å, c = 7.803 Å
α = 81.73°, β = 95.89°, γ = 95.89°
Sites, in units of the cell vectors:
Ta 0.661 0.822 0.822
Ta 0.339 0.178 0.178
Cl 0.731 0.147 0.147
Cl 0.258 0.362 0.362
Cl 0.221 0.895 0.296
Cl 0.269 0.853 0.853
Cl 0.221 0.296 0.895
Cl 0.779 0.704 0.105
Cl 0.742 0.638 0.638
Cl 0.779 0.105 0.704
V 0.000 0.000 0.000

Values from the calculation:
Energy relative to the elements, uncorrected = -0.8613 eV/atom
V = 349.3 Å³ per cell
Space group = No. 12
DOS at the Fermi energy = 5.956 states/eV per cell

=====

Entry 2:
## TaVCl2 (PBE)

Data for crystalline TaVCl2 at its relaxed geometry.

a = 8.561 Å, b = 8.561 Å, c = 8.561 Å
α = 20.32°, β = 20.32°, γ = 20.32°
Sites, in units of the cell vectors:
Cl 0.900 0.900 0.900
Cl 0.100 0.100 0.100
V 0.500 0.500 0.500
Ta 0.000 0.000 0.000

Values from the calculation:
E above lowest polymorph = 0 meV per atom
Energy relative to the elements, uncorrected = -0.1121 eV/atom
V = 66.2 Å³ per cell
Space group = No. 166
DOS at the Fermi energy = 4.666 states/eV per cell

=====

Entry 3:
## TaV3Cl (PBE)

Data for crystalline TaV3Cl at its relaxed geometry.

a = 4.251 Å, b = 4.251 Å, c = 4.251 Å
α = 90.00°, β = 90.00°, γ = 90.00°
Sites, in units of the cell vectors:
V 0.000 0.000 0.500
V 0.000 0.500 0.000
V 0.500 0.000 0.000
Cl 0.000 0.000 0.000
Ta 0.500 0.500 0.500

Values from the calculation:
E above lowest polymorph = 0 meV per atom
Energy relative to the elements, uncorrected = 0.5027 eV/atom
V = 76.8 Å³ per cell
Space group = No. 221
DOS at the Fermi energy = 6.003 states/eV per cell

=====

Entry 4:
## Ta2V2Cl7 (PBE)

Data for crystalline Ta2V2Cl7 at its relaxed geometry.

a = 6.706 Å, b = 6.706 Å, c = 14.943 Å
α = 111.04°, β = 111.04°, γ = 93.79°
Sites, in units of the cell vectors:
Cl 0.732 0.068 0.929
Cl 0.467 0.114 0.640
Cl 0.114 0.467 0.140
Cl 0.571 0.445 0.103
Cl 0.934 0.066 0.250
Cl 0.886 0.533 0.860
Cl 0.429 0.555 0.897
Cl 0.932 0.268 0.571
Cl 0.445 0.571 0.603
Cl 0.268 0.932 0.071
Cl 0.555 0.429 0.397
Cl 0.533 0.886 0.360
Cl 0.066 0.934 0.750
Cl 0.068 0.732 0.429
Ta 0.782 0.482 0.994
Ta 0.518 0.218 0.506
Ta 0.218 0.518 0.006
Ta 0.482 0.782 0.494
V 0.812 0.061 0.642
V 0.939 0.188 0.858
V 0.061 0.812 0.142
V 0.188 0.939 0.358

Values from the calculation:
Energy relative to the elements, uncorrected = -0.7421 eV/atom
V = 570.6 Å³ per cell
Space group = No. 15
DOS at the Fermi energy = 4.194 states/eV per cell

=====

Entry 5:
## Ta2VCl (PBE)

Data for crystalline Ta2VCl at its relaxed geometry.

a = 4.550 Å, b = 4.550 Å, c = 4.550 Å
α = 60.00°, β = 60.00°, γ = 60.00°
Sites, in units of the cell vectors:
Ta 0.750 0.750 0.750
Ta 0.250 0.250 0.250
V 0.500 0.500 0.500
Cl 0.000 0.000 0.000

Values from the calculation:
E above lowest polymorph = 0 meV per atom
Energy relative to the elements, uncorrected = 0.7847 eV/atom
V = 66.6 Å³ per cell
Space group = No. 225
DOS at the Fermi energy = 4.451 states/eV per cell

=====

Entry 6:
## Ta2VCl (PBE)

Data for crystalline Ta2VCl at its relaxed geometry.

a = 3.874 Å, b = 3.874 Å, c = 10.081 Å
α = 78.92°, β = 78.92°, γ = 90.00°
Sites, in units of the cell vectors:
V 0.000 0.000 0.000
V 0.750 0.250 0.500
Ta 0.375 0.369 0.750
Ta 0.875 0.881 0.750
Ta 0.631 0.125 0.250
Ta 0.119 0.625 0.250
Cl 0.500 0.500 0.000
Cl 0.250 0.750 0.500

Values from the calculation:
E above lowest polymorph = 51 meV per atom
Energy relative to the elements, uncorrected = 0.8355 eV/atom
V = 145.6 Å³ per cell
Space group = No. 122
DOS at the Fermi energy = 10.497 states/eV per cell

=====

Which of these has the highest energy relative to the elements, uncorrected?
number 6